No. 1
A plane-wave DFT calculation with PBE was carried out for crystalline BeGa2CuRe at its relaxed geometry.

The structure in extended XYZ format:
```
5
Lattice="-1.2571 3.3305 -2.2319 -3.8280 -1.6234 -0.2664 -1.0826 1.9702 3.5496" Properties=species:S:1:pos:R:3 pbc="T T T"
Re -1.9140 -0.8117 -0.1332
Cu -3.0838 1.8386 0.5257
Ga -0.6285 1.6652 -1.1160
Ga -0.5413 0.9851 1.7748
Be 0.0000 0.0000 0.0000
```

D(E_F)   3.09 states/eV/cell
DFT formation energy   0.71 eV/atom

---

No. 2
A plane-wave DFT calculation with PBE was carried out for crystalline BeGa2CuS at its relaxed geometry.

The structure in extended XYZ format:
```
5
Lattice="-3.0418 -1.3344 3.9689 -3.1390 -0.6151 -2.6125 1.4352 -4.9407 -0.5612" Properties=species:S:1:pos:R:3 pbc="T T T"
Cu -1.5695 -0.3075 -1.3063
S 0.0000 0.0000 0.0000
Ga 0.7176 -2.4704 -0.2806
Ga -1.5209 -0.6672 1.9844
Be -2.3728 -3.4451 0.3976
```

D(E_F)   2.32 states/eV/cell
Uncorrected formation energy   0.7145 eV/atom